<P>
{"formula": "Ti2HO", "functional": "PBE", "state": "relaxed", "lattice_angstrom": [[3.0973, 0.0000, -0.0018], [0.0003, 4.5903, -0.0003], [-0.0008, 0.0000, 6.3614]], "species": ["Ti", "Ti", "Ti", "Ti", "H", "H", "O", "O"], "fractional_positions": [[0.7003, 0.5734, 0.2081], [0.7018, 0.6438, 0.7678], [0.2002, 0.1441, 0.4483], [0.2017, 0.0733, 0.0078], [0.2005, 0.8217, 0.2575], [0.7015, 0.3215, 0.9586], [0.2017, 0.8943, 0.7127], [0.7003, 0.3946, 0.5030]], "crystal_system": "orthorhombic", "magmom_total_mub_per_fu": 0.0}


<Q>
{"formula": "Ti2HO", "functional": "PBE", "state": "relaxed", "lattice_angstrom": [[2.8799, 0.0000, 0.0000], [1.4400, 2.4941, 0.0000], [1.4400, 0.8314, 5.2784]], "species": ["Ti", "Ti", "H", "O"], "fractional_positions": [[0.0768, 0.0768, 0.7696], [0.2535, 0.2535, 0.2394], [0.6712, 0.6712, 0.9865], [0.4985, 0.4985, 0.5045]], "crystal_system": "trigonal", "magmom_total_mub_per_fu": 0.0}


Sorted by energy, starting with the most stable: <Q>, <P>.